NaReW2 (PBE, relaxed); N(E_F) = 4.41 states/eV/f.u.; ΔH_f (0 K) = 0.911 eV/atom; energy relative to the lowest polymorph listed for this composition = 0.000 eV/atom; space-group type = Fm-3m
1.0
6.357 0.000 0.000
0.000 6.357 0.000
0.000 0.000 6.357
Na Re W
4 4 8
Cartesian
0.000 0.000 0.000
0.000 3.178 3.178
3.178 0.000 3.178
3.178 3.178 0.000
0.000 0.000 3.178
0.000 3.178 0.000
3.178 0.000 0.000
3.178 3.178 3.178
1.589 1.589 1.589
1.589 1.589 4.768
1.589 4.768 1.589
1.589 4.768 4.768
4.768 1.589 1.589
4.768 1.589 4.768
4.768 4.768 1.589
4.768 4.768 4.768